# Li2ReRh2 (PBE-GGA, relaxed)
# - DFT formation energy: 2.69 kcal/mol of atoms
# - Distance to the lowest polymorph of the same formula: 0.00 eV/f.u.
# - Calculated density: 10.76 g/cm3
# - Magnetization: 0.001 μB per atom
data_Li2ReRh2
_symmetry_space_group_name_H-M 'P 4/m b m'
_symmetry_Int_Tables_number 127
_symmetry_space_group_name_Hall '-P 4 2ab'
_cell_length_a 6.7237
_cell_length_b 6.7237
_cell_length_c 2.7702
_cell_angle_alpha 90.00
_cell_angle_beta 90.00
_cell_angle_gamma 90.00
loop_
_atom_site_label
_atom_site_type_symbol
_atom_site_fract_x
_atom_site_fract_y
_atom_site_fract_z
Li1 Li 0.1084 0.3916 0.0000
Re1 Re 0.0000 0.0000 0.0000
Rh1 Rh 0.1938 0.6938 0.5000